The following is a PBE calculation of a relaxed structure of SrAl2Pt, from Alexandria via LeMat-Bulk.

Cell and atoms, written as POSCAR:
```
SrAl2Pt
1.0
-1.1508 -3.8107 1.3022
3.2054 -1.7189 -2.1973
2.8221 0.4376 3.7746
Sr Al Pt
1 2 1
direct
0.0000 0.5000 0.5000
0.0000 0.0000 0.0000
0.5000 0.5000 0.0000
0.5000 0.0000 0.5000
```

Spin magnetization, μB per formula unit: 0.000
DFT formation energy, eV/atom: -0.22
E_tot, eV/atom: -4.02
V, Å³ per atom: 21.06

The following is a PBE calculation of a relaxed structure of SrAl4Pt, from Alexandria via LeMat-Bulk.

Cell and atoms, written as POSCAR:
```
SrAl4Pt
1.0
4.8467 -1.3932 2.2207
2.0081 2.8696 4.2539
0.1806 -2.2725 5.0166
Sr Al Pt
1 4 1
direct
0.0000 0.0000 0.0000
0.8761 0.3746 0.3746
0.3746 0.3746 0.8761
0.3746 0.8761 0.3746
0.3746 0.3746 0.3746
0.7500 0.7500 0.7500
```

Spin magnetization, μB per formula unit: 0.000
DFT formation energy, eV/atom: -0.07
E_tot, eV/atom: -3.85
V, Å³ per atom: 19.72